! Zr3Ni5, optimized geometry, DFT PBE; values from VASP
! space-group type = Cmcm, No. 63
! ρ = 7.78 g cm⁻³
! energy = -7.249 eV per atom
&SYSTEM
  ibrav = 0, nat = 16, ntyp = 2
/
ATOMIC_SPECIES
Ni 58.69 Ni.upf
Zr 91.22 Zr.upf
CELL_PARAMETERS angstrom
-1.8380 3.0942 -3.8420
-2.8683 -4.3991 -0.3660
-6.0640 3.4793 5.7030
ATOMIC_POSITIONS crystal
Ni 0.3240 0.3240 0.5558
Zr 0.2018 0.7982 0.5000
Ni 0.9516 0.9516 0.2500
Zr 0.7982 0.2018 0.0000
Ni 0.5108 0.0813 0.7500
Ni 0.3240 0.3240 0.9442
Zr 0.7982 0.2018 0.5000
Zr 0.6475 0.6475 0.7500
Ni 0.6760 0.6760 0.4442
Ni 0.9187 0.4892 0.2500
Ni 0.0813 0.5108 0.7500
Ni 0.0484 0.0484 0.7500
Zr 0.3525 0.3525 0.2500
Ni 0.4892 0.9187 0.2500
Ni 0.6760 0.6760 0.0558
Zr 0.2018 0.7982 0.0000